Record 1
## Y6TlSe4 (PBE)

Data for crystalline Y6TlSe4 at its relaxed geometry.

The calculation puts the formation energy (no corrections) at -15.26 eV per formula unit.

It has space group Cmcm (No. 63), with a = 4.071 Å, b = 13.562 Å, c = 20.791 Å, α = 90.00°, β = 90.00° and γ = 90.00°. The asymmetric unit holds Y at (0.000, 0.000, 0.000), Y at (0.000, 0.157, 0.250), Y at (0.000, 0.271, 0.587), Y at (0.000, 0.454, 0.163), Tl at (0.000, 0.169, 0.750), Se at (0.000, 0.090, 0.123) and Se at (0.000, 0.361, 0.040).

***

Record 2
## YTlSe (PBE)

Data for crystalline YTlSe at its relaxed geometry.

The calculation puts the formation energy (no corrections) at -1.28 eV per formula unit. For the relative energy among the computed polymorphs, the calculation gives 1.44 eV/f.u.

It has space group F-43m (No. 216), with a = 7.119 Å, b = 7.119 Å, c = 7.119 Å, α = 90.00°, β = 90.00° and γ = 90.00°. The asymmetric unit holds Y at (0.000, 0.000, 0.000), Tl at (0.250, 0.250, 0.250) and Se at (0.250, 0.250, 0.750).

***

Record 3
## Y4TlSe2 (PBE)

Data for crystalline Y4TlSe2 at its relaxed geometry.

The calculation puts the formation energy (no corrections) at -7.74 eV per formula unit. For the relative energy among the computed polymorphs, the calculation gives 0.37 eV/f.u.

It has space group R-3m (No. 166, hexagonal axes), with a = 3.9126 Å, b = 3.9126 Å, c = 43.6439 Å, α = 90.00°, β = 90.00° and γ = 120.00°. The asymmetric unit holds Y at (0.0000, 0.0000, 0.1342), Y at (0.0000, 0.0000, 0.2809), Tl at (0.0000, 0.0000, 0.0000) and Se at (0.0000, 0.0000, 0.4257).

***

Record 4
## Y3TlSe2 (PBE)

Data for crystalline Y3TlSe2 at its relaxed geometry.

The calculation puts the formation energy (no corrections) at -7.88 eV per formula unit.

It has space group Immm (No. 71), with a = 4.055 Å, b = 5.972 Å, c = 12.987 Å, α = 90.00°, β = 90.00° and γ = 90.00°. The asymmetric unit holds Y at (0.000, 0.000, 0.000), Y at (0.000, 0.000, 0.323), Tl at (0.000, 0.500, 0.000) and Se at (0.000, 0.500, 0.335).

***

Record 5
## Y3TlSe6 (PBE)

Data for crystalline Y3TlSe6 at its relaxed geometry.

The calculation puts the formation energy (no corrections) at -14.30 eV per formula unit.

It has space group Cmc2_1 (No. 36), with a = 11.249 Å, b = 14.087 Å, c = 6.952 Å, α = 90.00°, β = 90.00° and γ = 90.00°. The asymmetric unit holds Y at (0.000, 0.092, 0.000), Y at (0.186, 0.403, 0.901), Tl at (0.000, 0.297, 0.383), Se at (0.000, 0.278, 0.762), Se at (0.000, 0.470, 0.198), Se at (0.163, 0.035, 0.704) and Se at (0.176, 0.225, 0.160).

***

Record 6
## Y4TlSe2 (PBE)

Data for crystalline Y4TlSe2 at its relaxed geometry.

The calculation puts the formation energy (no corrections) at -8.11 eV per formula unit. For the relative energy among the computed polymorphs, the calculation gives 0.00 eV/f.u.

It has space group Cmcm (No. 63), with a = 4.066 Å, b = 13.499 Å, c = 13.930 Å, α = 90.00°, β = 90.00° and γ = 90.00°. The asymmetric unit holds Y at (0.000, 0.000, 0.000), Y at (0.000, 0.270, 0.122), Y at (0.000, 0.431, 0.750), Tl at (0.000, 0.105, 0.750) and Se at (0.000, 0.364, 0.558).

***

Record 7
## YTlSe3 (PBE)

Data for crystalline YTlSe3 at its relaxed geometry.

The calculation puts the formation energy (no corrections) at -0.61 eV per formula unit. For the relative energy among the computed polymorphs, the calculation gives 2.86 eV/f.u.

It has space group Pm-3m (No. 221), with a = 5.281 Å, b = 5.281 Å, c = 5.281 Å, α = 90.00°, β = 90.00° and γ = 90.00°. The asymmetric unit holds Y at (0.000, 0.000, 0.000), Tl at (0.500, 0.500, 0.500) and Se at (0.000, 0.500, 0.500).

***

Record 8
## Y2TlSe2 (PBE)

Data for crystalline Y2TlSe2 at its relaxed geometry.

The calculation puts the formation energy (no corrections) at -5.51 eV per formula unit. For the relative energy among the computed polymorphs, the calculation gives 0.08 eV/f.u.

It has space group P4/mbm (No. 127), with a = 8.231 Å, b = 8.231 Å, c = 3.715 Å, α = 90.00°, β = 90.00° and γ = 90.00°. The asymmetric unit holds Y at (0.158, 0.342, 0.000), Tl at (0.000, 0.000, 0.000) and Se at (0.140, 0.640, 0.500).

***

Record 9
## Y2TlSe2 (PBE)

Data for crystalline Y2TlSe2 at its relaxed geometry.

The calculation puts the formation energy (no corrections) at -5.59 eV per formula unit. For the relative energy among the computed polymorphs, the calculation gives 0.00 eV/f.u.

It has space group P4/mbm (No. 127), with a = 8.283 Å, b = 8.283 Å, c = 3.622 Å, α = 90.00°, β = 90.00° and γ = 90.00°. The asymmetric unit holds Y at (0.156, 0.344, 0.000), Tl at (0.000, 0.000, 0.500) and Se at (0.138, 0.638, 0.500).

***

Record 10
## YTlSe (PBE)

Data for crystalline YTlSe at its relaxed geometry.

The calculation puts the formation energy (no corrections) at -2.21 eV per formula unit. For the relative energy among the computed polymorphs, the calculation gives 0.52 eV/f.u.

It has space group P-6m2 (No. 187), with a = 4.8139 Å, b = 4.8139 Å, c = 4.3974 Å, α = 90.00°, β = 90.00° and γ = 120.00°. The asymmetric unit holds Y at (0.0000, 0.0000, 0.0000), Tl at (0.3333, 0.6667, 0.5000) and Se at (0.6667, 0.3333, 0.0000).

***

Record 11
## Y2Tl14Se9 (PBE)

Data for crystalline Y2Tl14Se9 at its relaxed geometry.

The calculation puts the formation energy (no corrections) at -13.85 eV per formula unit.

It has space group P-3 (No. 147), with a = 9.9857 Å, b = 9.9857 Å, c = 9.5437 Å, α = 90.00°, β = 90.00° and γ = 120.00°. The asymmetric unit holds Y at (0.3333, 0.6667, 0.2516), Tl at (0.0000, 0.0000, 0.3116), Tl at (0.0005, 0.3308, 0.0200), Tl at (0.1145, 0.4402, 0.6524), Se at (0.0000, 0.0000, 0.0000), Se at (0.0900, 0.3836, 0.3272) and Se at (0.3333, 0.6667, 0.9630).

***

Record 12
## YTlSe (PBE)

Data for crystalline YTlSe at its relaxed geometry.

The calculation puts the formation energy (no corrections) at -1.76 eV per formula unit. For the relative energy among the computed polymorphs, the calculation gives 0.97 eV/f.u.

It has space group F-43m (No. 216), with a = 7.008 Å, b = 7.008 Å, c = 7.008 Å, α = 90.00°, β = 90.00° and γ = 90.00°. The asymmetric unit holds Y at (0.000, 0.000, 0.000), Tl at (0.000, 0.000, 0.500) and Se at (0.250, 0.250, 0.750).

***

Record 13
## YTlSe3 (PBE)

Data for crystalline YTlSe3 at its relaxed geometry.

The calculation puts the formation energy (no corrections) at -3.47 eV per formula unit. For the relative energy among the computed polymorphs, the calculation gives 0.00 eV/f.u.

It has space group Pm-3m (No. 221), with a = 5.538 Å, b = 5.538 Å, c = 5.538 Å, α = 90.00°, β = 90.00° and γ = 90.00°. The asymmetric unit holds Y at (0.000, 0.000, 0.000), Tl at (0.500, 0.500, 0.500) and Se at (0.000, 0.000, 0.500).

***

Record 14
## Y4TlSe (PBE)

Data for crystalline Y4TlSe at its relaxed geometry.

The calculation puts the formation energy (no corrections) at 0.94 eV per formula unit.

It has space group F-43m (No. 216), with a = 8.934 Å, b = 8.934 Å, c = 8.934 Å, α = 90.00°, β = 90.00° and γ = 90.00°. The asymmetric unit holds Y at (0.124, 0.124, 0.376), Tl at (0.250, 0.250, 0.750) and Se at (0.000, 0.000, 0.000).

***

Record 15
## YTl3Se3 (PBE)

Data for crystalline YTl3Se3 at its relaxed geometry.

The calculation puts the formation energy (no corrections) at -6.73 eV per formula unit.

It has space group P2_1/m (No. 11), with a = 9.044 Å, b = 4.234 Å, c = 12.355 Å, α = 90.00°, β = 93.21° and γ = 90.00°. The asymmetric unit holds Y at (0.113, 0.250, 0.382), Tl at (0.145, 0.250, 0.877), Tl at (0.335, 0.750, 0.144), Tl at (0.386, 0.750, 0.636), Se at (0.095, 0.250, 0.149), Se at (0.107, 0.250, 0.616) and Se at (0.332, 0.750, 0.390).

***

Record 16
## YTlSe (PBE)

Data for crystalline YTlSe at its relaxed geometry.

The calculation puts the formation energy (no corrections) at -2.72 eV per formula unit. For the relative energy among the computed polymorphs, the calculation gives 0.00 eV/f.u.

It has space group I4mm (No. 107), with a = 3.783 Å, b = 3.783 Å, c = 12.473 Å, α = 90.00°, β = 90.00° and γ = 90.00°. The asymmetric unit holds Y at (0.000, 0.000, 0.000), Tl at (0.000, 0.000, 0.331) and Se at (0.000, 0.000, 0.584).

***

Record 17
## YTlSe4 (PBE)

Data for crystalline YTlSe4 at its relaxed geometry.

The calculation puts the formation energy (no corrections) at -0.52 eV per formula unit. For the relative energy among the computed polymorphs, the calculation gives 4.95 eV/f.u.

It has space group F-43m (No. 216), with a = 8.354 Å, b = 8.354 Å, c = 8.354 Å, α = 90.00°, β = 90.00° and γ = 90.00°. The asymmetric unit holds Y at (0.000, 0.000, 0.000), Tl at (0.250, 0.250, 0.250) and Se at (0.126, 0.126, 0.626).

***

Record 18
## Y5Tl2Se2 (PBE)

Data for crystalline Y5Tl2Se2 at its relaxed geometry.

The calculation puts the formation energy (no corrections) at -7.62 eV per formula unit.

It has space group Cmce (No. 64), with a = 14.982 Å, b = 8.023 Å, c = 8.001 Å, α = 90.00°, β = 90.00° and γ = 90.00°. The asymmetric unit holds Y at (0.000, 0.000, 0.000), Y at (0.129, 0.166, 0.337), Tl at (0.208, 0.000, 0.000) and Se at (0.000, 0.142, 0.646).

***

Record 19
## YTlSe4 (PBE)

Data for crystalline YTlSe4 at its relaxed geometry.

The calculation puts the formation energy (no corrections) at -5.47 eV per formula unit. For the relative energy among the computed polymorphs, the calculation gives 0.00 eV/f.u.

It has space group P4/nbm (No. 125, origin choice 2), with a = 6.268 Å, b = 6.268 Å, c = 8.391 Å, α = 90.00°, β = 90.00° and γ = 90.00°. The asymmetric unit holds Y at (0.250, 0.250, 0.000), Tl at (0.250, 0.250, 0.500) and Se at (0.113, 0.613, 0.207).

***

Record 20
## Y4TlSe3 (PBE)

Data for crystalline Y4TlSe3 at its relaxed geometry.

The calculation puts the formation energy (no corrections) at -11.25 eV per formula unit.

It has space group Cmmm (No. 65), with a = 8.488 Å, b = 11.849 Å, c = 4.097 Å, α = 90.00°, β = 90.00° and γ = 90.00°. The asymmetric unit holds Y at (0.000, 0.248, 0.000), Y at (0.241, 0.000, 0.500), Tl at (0.000, 0.500, 0.000), Se at (0.000, 0.000, 0.000) and Se at (0.250, 0.250, 0.500).

***

Record 21
## Y6TlSe8 (PBE)

Data for crystalline Y6TlSe8 at its relaxed geometry.

The calculation puts the formation energy (no corrections) at -23.48 eV per formula unit.

It has space group R-3 (No. 148, hexagonal axes), with a = 11.7399 Å, b = 11.7399 Å, c = 13.1025 Å, α = 90.00°, β = 90.00° and γ = 120.00°. The asymmetric unit holds Y at (0.0008, 0.1847, 0.3805), Tl at (0.0000, 0.0000, 0.0000), Se at (0.0000, 0.0000, 0.2441) and Se at (0.0075, 0.2791, 0.5840).

***

Record 22
## Y2Tl3ZnSe6 (PBE)

Data for crystalline Y2Tl3ZnSe6 at its relaxed geometry.

The calculation puts the formation energy (no corrections) at -11.94 eV per formula unit.

It has space group C2/m (No. 12), with a = 7.177 Å, b = 12.404 Å, c = 7.860 Å, α = 90.00°, β = 108.01° and γ = 90.00°. The asymmetric unit holds Y at (0.000, 0.165, 0.000), Tl at (0.000, 0.000, 0.500), Tl at (0.000, 0.327, 0.500), Zn at (0.000, 0.500, 0.000), Se at (0.226, 0.341, 0.202) and Se at (0.247, 0.000, 0.210).